A plane-wave DFT calculation with PBE was carried out for Re2Tc3 after structural relaxation.

Cell: 12.1590 2.7508 9.0435 Å, 90.00 90.00 90.00°
Sites, in units of the cell vectors:
Re 0.0491 0.2500 0.1239
Re 0.1618 0.2500 0.3895
Re 0.3382 0.7500 0.8895
Re 0.4509 0.7500 0.6239
Re 0.5491 0.2500 0.3761
Re 0.6618 0.2500 0.1105
Re 0.8382 0.7500 0.6105
Re 0.9509 0.7500 0.8761
Tc 0.0292 0.2500 0.6246
Tc 0.1519 0.2500 0.8652
Tc 0.2319 0.7500 0.6265
Tc 0.2681 0.2500 0.1265
Tc 0.3481 0.7500 0.3652
Tc 0.4708 0.7500 0.1246
Tc 0.5292 0.2500 0.8754
Tc 0.6519 0.2500 0.6348
Tc 0.7319 0.7500 0.8735
Tc 0.7681 0.2500 0.3735
Tc 0.8481 0.7500 0.1348
Tc 0.9708 0.7500 0.3754

Values from the calculation:
M_tot = 0.000 μB/atom
Energy relative to the elements = 21 kJ per mole of atoms
Energy relative to the lowest polymorph listed for this composition = 150.3 meV per atom
Fermi-level density of states = 23.68 states/eV/cell

---

A plane-wave DFT calculation with PBE was carried out for Re4Tc after structural relaxation.

Cell: 4.5771 4.5771 4.5771 Å, 90.00 90.00 90.00°
Sites, in units of the cell vectors:
Re 0.0000 0.0000 0.0000
Re 0.0000 0.5000 0.5000
Re 0.5000 0.0000 0.5000
Re 0.5000 0.5000 0.0000
Tc 0.5000 0.5000 0.5000

Values from the calculation:
M_tot = 0.150 μB/atom
Energy relative to the elements = 235 kJ per mole of atoms
Energy relative to the lowest polymorph listed for this composition = 2372.0 meV per atom
Fermi-level density of states = 4.89 states/eV/cell

---

A plane-wave DFT calculation with PBE was carried out for ReTc2 after structural relaxation.

Cell: 6.1437 6.1437 6.1437 Å, 154.09 154.09 36.97°
Sites, in units of the cell vectors:
Re 0.0000 0.0000 0.0000
Tc 0.3330 0.3330 0.0000
Tc 0.6670 0.6670 0.0000

Values from the calculation:
M_tot = 0.000 μB/atom
Energy relative to the elements = 6 kJ per mole of atoms
Energy relative to the lowest polymorph listed for this composition = 67.3 meV per atom
Fermi-level density of states = 2.94 states/eV/cell

---

- M_tot of number 1 (Re2Tc3)?
  0.000 μB/atom